The following is a GGA+U calculation of a relaxed Cs2VF6 crystal, from Alexandria.

```
data_Cs2VF6
_chemical_formula_sum 'Cs8 V4 F24'
_cell_length_a 6.281
_cell_length_b 15.036
_cell_length_c 7.433
_cell_angle_alpha 90.00
_cell_angle_beta 90.00
_cell_angle_gamma 90.00
_symmetry_space_group_name_H-M 'C m c m'
_symmetry_Int_Tables_number 63
_symmetry_space_group_name_Hall '-C 2c 2'
loop_
_atom_site_label
_atom_site_type_symbol
_atom_site_fract_x
_atom_site_fract_y
_atom_site_fract_z
_atom_site_occupancy
Cs1 Cs 0.000 0.047 0.250 1
Cs2 Cs 0.000 0.271 0.750 1
V1 V 0.000 0.383 0.250 1
F1 F 0.000 0.259 0.250 1
F2 F 0.000 0.495 0.750 1
F3 F 0.219 0.381 0.071 1
```

Computed properties:
raw total energy = -5.152 eV per atom